The following is a PBE-GGA calculation of crystalline Th2SnP3Rh12 at its relaxed geometry, from Alexandria via LeMat-Bulk.

```
data_Th2SnP3Rh12
_chemical_formula_sum 'Th2 Sn1 P3 Rh12'
_cell_length_a 7.136
_cell_length_b 7.136
_cell_length_c 7.136
_cell_angle_alpha 72.52
_cell_angle_beta 72.52
_cell_angle_gamma 72.52
_symmetry_space_group_name_H-M 'P 1'
_symmetry_Int_Tables_number 1
_symmetry_space_group_name_Hall 'P 1'
loop_
_atom_site_label
_atom_site_type_symbol
_atom_site_fract_x
_atom_site_fract_y
_atom_site_fract_z
Rh1 Rh 0.849 0.378 0.849
Rh2 Rh 0.904 0.334 0.334
Rh3 Rh 0.622 0.151 0.151
Rh4 Rh 0.666 0.096 0.666
Rh5 Rh 0.378 0.849 0.849
Rh6 Rh 0.151 0.622 0.151
Rh7 Rh 0.666 0.666 0.096
Rh8 Rh 0.096 0.666 0.666
Rh9 Rh 0.849 0.849 0.378
Rh10 Rh 0.334 0.904 0.334
Rh11 Rh 0.334 0.334 0.904
Rh12 Rh 0.151 0.151 0.622
P1 P 0.500 0.000 0.000
P2 P 0.000 0.500 0.000
P3 P 0.000 0.000 0.500
Th1 Th 0.608 0.608 0.608
Th2 Th 0.392 0.392 0.392
Sn1 Sn 0.000 0.000 0.000
```

M_tot ... 0.000 μB per atom
Electronic total energy ... -7.22 eV per atom
Crystal system ... trigonal
ΔE_f ... -0.37 eV/atom